(1)
This record from the Alexandria database describes a geometry-optimized Na2CaAgCl5 structure. The functional is PBE.

Structure (CIF):
```
data_Na2CaAgCl5
_cell_length_a 4.035
_cell_length_b 17.492
_cell_length_c 14.213
_cell_angle_alpha 90.00
_cell_angle_beta 90.00
_cell_angle_gamma 90.00
_symmetry_space_group_name_H-M 'C m c 21'
_symmetry_Int_Tables_number 36
loop_
_symmetry_equiv_pos_as_xyz
'x,y,z'
'-x,-y,z+1/2'
'-x,y,z'
'x,-y,z+1/2'
'x+1/2,y+1/2,z'
'-x+1/2,-y+1/2,z+1/2'
'-x+1/2,y+1/2,z'
'x+1/2,-y+1/2,z+1/2'
loop_
_atom_site_label
_atom_site_type_symbol
_atom_site_fract_x
_atom_site_fract_y
_atom_site_fract_z
Na1 Na 0.000 0.051 0.000
Na2 Na 0.000 0.143 0.595
Ca1 Ca 0.000 0.240 0.360
Ag1 Ag 0.000 0.481 0.780
Cl1 Cl 0.000 0.081 0.370
Cl2 Cl 0.000 0.254 0.731
Cl3 Cl 0.000 0.272 0.995
Cl4 Cl 0.000 0.392 0.392
Cl5 Cl 0.000 0.475 0.110
```

Properties
energy = -3.53 eV/atom
size of the total moment = 0.000 μB/atom
raw formation energy = -1.67 eV per atom
crystal system = orthorhombic

(2)
This record from the Alexandria database describes a geometry-optimized Nd2ZnCl structure. The functional is PBE.

Structure (CIF):
```
data_Nd2ZnCl
_cell_length_a 4.1494
_cell_length_b 4.1494
_cell_length_c 21.3038
_cell_angle_alpha 90.00
_cell_angle_beta 90.00
_cell_angle_gamma 120.00
_symmetry_space_group_name_H-M 'R -3 m'
_symmetry_Int_Tables_number 166
_symmetry_space_group_name_Hall '-R 3 2"'
loop_
_atom_site_label
_atom_site_type_symbol
_atom_site_fract_x
_atom_site_fract_y
_atom_site_fract_z
Nd1 Nd 0.0000 0.0000 0.2489
Zn1 Zn 0.0000 0.0000 0.0000
Cl1 Cl 0.0000 0.0000 0.5000
```

Properties
energy = -4.00 eV/atom
size of the total moment = 0.000 μB/atom
raw formation energy = -0.83 eV per atom
crystal system = trigonal

(3)
This record from the Alexandria database describes a geometry-optimized CrCd2Si4 structure. The functional is PBE.

Structure (CIF):
```
data_CrCd2Si4
_cell_length_a 4.297
_cell_length_b 4.297
_cell_length_c 16.723
_cell_angle_alpha 90.00
_cell_angle_beta 90.00
_cell_angle_gamma 90.00
_symmetry_space_group_name_H-M 'I 4/m m m'
_symmetry_Int_Tables_number 139
_symmetry_space_group_name_Hall '-I 4 2'
loop_
_atom_site_label
_atom_site_type_symbol
_atom_site_fract_x
_atom_site_fract_y
_atom_site_fract_z
Cr1 Cr 0.000 0.000 0.000
Cd1 Cd 0.000 0.000 0.301
Si1 Si 0.000 0.000 0.135
Si2 Si 0.000 0.500 0.000
```

Properties
energy = -4.26 eV/atom
size of the total moment = 0.000 μB/atom
raw formation energy = 0.48 eV per atom
crystal system = tetragonal

(4)
This record from the Alexandria database describes a geometry-optimized NiHCl2 structure. The functional is PBE.

Structure (CIF):
```
data_NiHCl2
_cell_length_a 3.7423
_cell_length_b 3.7423
_cell_length_c 16.9838
_cell_angle_alpha 90.00
_cell_angle_beta 90.00
_cell_angle_gamma 120.00
_symmetry_space_group_name_H-M 'R -3 m'
_symmetry_Int_Tables_number 166
_symmetry_space_group_name_Hall '-R 3 2"'
loop_
_atom_site_label
_atom_site_type_symbol
_atom_site_fract_x
_atom_site_fract_y
_atom_site_fract_z
Ni1 Ni 0.0000 0.0000 0.0000
H1 H 0.0000 0.0000 0.5000
Cl1 Cl 0.0000 0.0000 0.4075
```

Properties
energy = -3.34 eV/atom
size of the total moment = 0.250 μB/atom
crystal system = trigonal

(5)
This record from the Alexandria database describes a geometry-optimized Tb2PmDy6Ho structure. The functional is PBE.

Structure (CIF):
```
data_Tb2PmDy6Ho
_cell_length_a 9.050
_cell_length_b 15.026
_cell_length_c 9.569
_cell_angle_alpha 90.00
_cell_angle_beta 97.65
_cell_angle_gamma 90.00
_symmetry_space_group_name_H-M 'C 1 2/c 1'
_symmetry_Int_Tables_number 15
loop_
_symmetry_equiv_pos_as_xyz
'x,y,z'
'-x,-y,-z'
'-x,y,-z+1/2'
'x,-y,z+1/2'
'x+1/2,y+1/2,z'
'-x+1/2,-y+1/2,-z'
'-x+1/2,y+1/2,-z+1/2'
'x+1/2,-y+1/2,z+1/2'
loop_
_atom_site_label
_atom_site_type_symbol
_atom_site_fract_x
_atom_site_fract_y
_atom_site_fract_z
Tb1 Tb 0.250 0.052 0.045
Pm1 Pm 0.000 0.023 0.750
Dy1 Dy 0.064 0.187 0.443
Dy2 Dy 0.100 0.392 0.620
Dy3 Dy 0.207 0.225 0.816
Ho1 Ho 0.000 0.409 0.250
```

Properties
energy of formation from the pure elements = 0.119 eV/atom
energy = -4.50 eV/atom
size of the total moment = 0.000 μB/atom
crystal system = monoclinic

(6)
This record from the Alexandria database describes a geometry-optimized HPt2O structure. The functional is PBE.

Structure (CIF):
```
data_HPt2O
_cell_length_a 5.600
_cell_length_b 5.600
_cell_length_c 5.600
_cell_angle_alpha 90.00
_cell_angle_beta 90.00
_cell_angle_gamma 90.00
_symmetry_space_group_name_H-M 'F m -3 m'
_symmetry_Int_Tables_number 225
_symmetry_space_group_name_Hall '-F 4 2 3'
loop_
_atom_site_label
_atom_site_type_symbol
_atom_site_fract_x
_atom_site_fract_y
_atom_site_fract_z
H1 H 0.000 0.000 0.000
Pt1 Pt 0.250 0.250 0.250
O1 O 0.000 0.000 0.500
```

Properties
energy = -4.22 eV/atom
size of the total moment = 0.000 μB/atom
crystal system = cubic

(7)
This record from the Alexandria database describes a geometry-optimized InOs2Ru structure. The functional is PBE.

Structure (CIF):
```
data_InOs2Ru
_cell_length_a 2.846
_cell_length_b 4.843
_cell_length_c 9.292
_cell_angle_alpha 90.00
_cell_angle_beta 90.00
_cell_angle_gamma 90.00
_symmetry_space_group_name_H-M 'C m m 2'
_symmetry_Int_Tables_number 35
loop_
_symmetry_equiv_pos_as_xyz
'x,y,z'
'-x,-y,z'
'-x,y,z'
'x,-y,z'
'x+1/2,y+1/2,z'
'-x+1/2,-y+1/2,z'
'-x+1/2,y+1/2,z'
'x+1/2,-y+1/2,z'
loop_
_atom_site_label
_atom_site_type_symbol
_atom_site_fract_x
_atom_site_fract_y
_atom_site_fract_z
In1 In 0.000 0.000 0.000
Os1 Os 0.000 0.000 0.504
Os2 Os 0.000 0.500 0.265
Ru1 Ru 0.000 0.500 0.744
```

Properties
energy of formation from the pure elements = 0.694 eV/atom
energy = -7.92 eV/atom
size of the total moment = 0.307 μB/atom
crystal system = orthorhombic

(8)
This record from the Alexandria database describes a geometry-optimized BaGePb2 structure. The functional is PBE.

Structure (CIF):
```
data_BaGePb2
_cell_length_a 5.1267
_cell_length_b 5.1267
_cell_length_c 17.8838
_cell_angle_alpha 90.00
_cell_angle_beta 90.00
_cell_angle_gamma 120.00
_symmetry_space_group_name_H-M 'R -3 m'
_symmetry_Int_Tables_number 166
_symmetry_space_group_name_Hall '-R 3 2"'
loop_
_atom_site_label
_atom_site_type_symbol
_atom_site_fract_x
_atom_site_fract_y
_atom_site_fract_z
Ba1 Ba 0.0000 0.0000 0.0000
Ge1 Ge 0.0000 0.0000 0.5000
Pb1 Pb 0.0000 0.0000 0.2146
```

Properties
energy of formation from the pure elements = -0.224 eV/atom
energy = -3.71 eV/atom
size of the total moment = 0.000 μB/atom
crystal system = trigonal

(9)
This record from the Alexandria database describes a geometry-optimized PtBr3 structure. The functional is PBE.

Structure (CIF):
```
data_PtBr3
_cell_length_a 3.9200
_cell_length_b 3.9200
_cell_length_c 22.1756
_cell_angle_alpha 90.00
_cell_angle_beta 90.00
_cell_angle_gamma 120.00
_symmetry_space_group_name_H-M 'R -3 m'
_symmetry_Int_Tables_number 166
_symmetry_space_group_name_Hall '-R 3 2"'
loop_
_atom_site_label
_atom_site_type_symbol
_atom_site_fract_x
_atom_site_fract_y
_atom_site_fract_z
Pt1 Pt 0.0000 0.0000 0.0000
Br1 Br 0.0000 0.0000 0.2717
Br2 Br 0.0000 0.0000 0.5000
```

Properties
energy = -2.62 eV/atom
size of the total moment = 0.078 μB/atom
raw formation energy = 0.15 eV per atom
crystal system = trigonal

(10)
This record from the Alexandria database describes a geometry-optimized ZnIr2Os structure. The functional is PBE.

Structure (CIF):
```
data_ZnIr2Os
_cell_length_a 2.734
_cell_length_b 4.732
_cell_length_c 9.102
_cell_angle_alpha 90.00
_cell_angle_beta 90.00
_cell_angle_gamma 90.00
_symmetry_space_group_name_H-M 'C m m m'
_symmetry_Int_Tables_number 65
_symmetry_space_group_name_Hall '-C 2 2'
loop_
_atom_site_label
_atom_site_type_symbol
_atom_site_fract_x
_atom_site_fract_y
_atom_site_fract_z
Zn1 Zn 0.000 0.000 0.000
Ir1 Ir 0.000 0.500 0.246
Os1 Os 0.000 0.000 0.500
```

Properties
energy of formation from the pure elements = 0.235 eV/atom
energy = -7.32 eV/atom
size of the total moment = 0.097 μB/atom
crystal system = orthorhombic

(11)
This record from the Alexandria database describes a geometry-optimized Mg2In3Cu structure. The functional is PBE.

Structure (CIF):
```
data_Mg2In3Cu
_cell_length_a 14.515
_cell_length_b 5.751
_cell_length_c 6.306
_cell_angle_alpha 90.00
_cell_angle_beta 90.00
_cell_angle_gamma 90.00
_symmetry_space_group_name_H-M 'C m c m'
_symmetry_Int_Tables_number 63
_symmetry_space_group_name_Hall '-C 2c 2'
loop_
_atom_site_label
_atom_site_type_symbol
_atom_site_fract_x
_atom_site_fract_y
_atom_site_fract_z
Mg1 Mg 0.140 0.000 0.000
In1 In 0.000 0.287 0.250
In2 In 0.178 0.458 0.750
Cu1 Cu 0.000 0.217 0.750
```

Properties
energy of formation from the pure elements = -0.021 eV/atom
energy = -2.60 eV/atom
size of the total moment = 0.000 μB/atom
crystal system = orthorhombic

(12)
This record from the Alexandria database describes a geometry-optimized La2Al2Cr structure. The functional is PBE.

Structure (CIF):
```
data_La2Al2Cr
_cell_length_a 7.039
_cell_length_b 7.039
_cell_length_c 4.857
_cell_angle_alpha 90.00
_cell_angle_beta 90.00
_cell_angle_gamma 90.00
_symmetry_space_group_name_H-M 'P 4/m b m'
_symmetry_Int_Tables_number 127
_symmetry_space_group_name_Hall '-P 4 2ab'
loop_
_atom_site_label
_atom_site_type_symbol
_atom_site_fract_x
_atom_site_fract_y
_atom_site_fract_z
La1 La 0.169 0.331 0.000
Al1 Al 0.142 0.642 0.500
Cr1 Cr 0.000 0.000 0.500
```

Properties
energy of formation from the pure elements = 0.193 eV/atom
energy = -5.20 eV/atom
size of the total moment = 0.000 μB/atom
crystal system = tetragonal